# RbLiF2, single point on PBEsol structure, DFT meta-GGA SCAN
data_RbLiF2
_chemical_formula_sum 'Rb8 Li8 F16'
_symmetry_space_group_name_H-M 'C 1 2/c 1'
_symmetry_Int_Tables_number 15
_cell_length_a 5.783
_cell_length_b 11.095
_cell_length_c 7.756
_cell_angle_alpha 90.00
_cell_angle_beta 96.48
_cell_angle_gamma 90.00
loop_
_symmetry_equiv_pos_as_xyz
'x,y,z'
'-x,-y,-z'
'-x,y,-z+1/2'
'x,-y,z+1/2'
'x+1/2,y+1/2,z'
'-x+1/2,-y+1/2,-z'
'-x+1/2,y+1/2,-z+1/2'
'x+1/2,-y+1/2,z+1/2'
loop_
_atom_site_label
_atom_site_type_symbol
_atom_site_fract_x
_atom_site_fract_y
_atom_site_fract_z
_atom_site_occupancy
Rb1 Rb 0.232 0.090 0.433 1
Li1 Li 0.241 0.198 0.860 1
F1 F 0.000 0.110 0.750 1
F2 F 0.000 0.308 0.250 1
F3 F 0.205 0.362 0.915 1
# E (eV per atom): -10.55
# DOS at the Fermi energy (states/eV/atom): 0.000
# Excess energy over the best structure of this formula in the dataset (meV per atom): 0

---

# RbLiRhF2, single point on PBEsol structure, DFT meta-GGA SCAN
data_RbLiRhF2
_chemical_formula_sum 'Rb1 Li1 Rh1 F2'
_symmetry_space_group_name_H-M 'P 4/m m m'
_symmetry_Int_Tables_number 123
_symmetry_space_group_name_Hall '-P 4 2'
_cell_length_a 4.443
_cell_length_b 4.443
_cell_length_c 4.358
_cell_angle_alpha 90.00
_cell_angle_beta 90.00
_cell_angle_gamma 90.00
loop_
_atom_site_label
_atom_site_type_symbol
_atom_site_fract_x
_atom_site_fract_y
_atom_site_fract_z
_atom_site_occupancy
Rb1 Rb 0.000 0.000 0.000 1
Li1 Li 0.500 0.500 0.000 1
Rh1 Rh 0.500 0.500 0.500 1
F1 F 0.000 0.500 0.500 1
# E (eV per atom): -13.98
# DOS at the Fermi energy (states/eV/atom): 0.122

---

# Rb2LiYF6, single point on PBEsol structure, DFT meta-GGA SCAN
data_Rb2LiYF6
_chemical_formula_sum 'Rb8 Li4 Y4 F24'
_symmetry_space_group_name_H-M 'F m -3 m'
_symmetry_Int_Tables_number 225
_symmetry_space_group_name_Hall '-F 4 2 3'
_cell_length_a 8.496
_cell_length_b 8.496
_cell_length_c 8.496
_cell_angle_alpha 90.00
_cell_angle_beta 90.00
_cell_angle_gamma 90.00
loop_
_atom_site_label
_atom_site_type_symbol
_atom_site_fract_x
_atom_site_fract_y
_atom_site_fract_z
_atom_site_occupancy
Rb1 Rb 0.250 0.250 0.250 1
Li1 Li 0.000 0.000 0.000 1
Y1 Y 0.000 0.000 0.500 1
F1 F 0.000 0.000 0.246 1
# E (eV per atom): -12.87
# DOS at the Fermi energy (states/eV/atom): 0.000

---

# LiReF3, single point on PBEsol structure, DFT meta-GGA SCAN
data_LiReF3
_chemical_formula_sum 'Li1 Re1 F3'
_symmetry_space_group_name_H-M 'P m -3 m'
_symmetry_Int_Tables_number 221
_symmetry_space_group_name_Hall '-P 4 2 3'
_cell_length_a 3.743
_cell_length_b 3.743
_cell_length_c 3.743
_cell_angle_alpha 90.00
_cell_angle_beta 90.00
_cell_angle_gamma 90.00
loop_
_atom_site_label
_atom_site_type_symbol
_atom_site_fract_x
_atom_site_fract_y
_atom_site_fract_z
_atom_site_occupancy
Li1 Li 0.000 0.000 0.000 1
Re1 Re 0.500 0.500 0.500 1
F1 F 0.000 0.000 0.500 1
# E (eV per atom): -18.07
# DOS at the Fermi energy (states/eV/atom): 0.275

---

# LiRhF6, single point on PBEsol structure, DFT meta-GGA SCAN
data_LiRhF6
_chemical_formula_sum 'Li3 Rh3 F18'
_symmetry_space_group_name_H-M 'R -3'
_symmetry_Int_Tables_number 148
_symmetry_space_group_name_Hall '-R 3'
_cell_length_a 5.0051
_cell_length_b 5.0051
_cell_length_c 13.4093
_cell_angle_alpha 90.00
_cell_angle_beta 90.00
_cell_angle_gamma 120.00
loop_
_atom_site_label
_atom_site_type_symbol
_atom_site_fract_x
_atom_site_fract_y
_atom_site_fract_z
_atom_site_occupancy
Li1 Li 0.0000 0.0000 0.0000 1
Rh1 Rh 0.0000 0.0000 0.5000 1
F1 F 0.0142 0.3781 0.2471 1
# E (eV per atom): -9.13
# DOS at the Fermi energy (states/eV/atom): 0.712

---

# LiRhF2, single point on PBEsol structure, DFT meta-GGA SCAN
data_LiRhF2
_chemical_formula_sum 'Li3 Rh3 F6'
_symmetry_space_group_name_H-M 'R -3 m'
_symmetry_Int_Tables_number 166
_symmetry_space_group_name_Hall '-R 3 2"'
_cell_length_a 2.7060
_cell_length_b 2.7060
_cell_length_c 18.5534
_cell_angle_alpha 90.00
_cell_angle_beta 90.00
_cell_angle_gamma 120.00
loop_
_atom_site_label
_atom_site_type_symbol
_atom_site_fract_x
_atom_site_fract_y
_atom_site_fract_z
_atom_site_occupancy
Li1 Li 0.0000 0.0000 0.0000 1
Rh1 Rh 0.0000 0.0000 0.5000 1
F1 F 0.0000 0.0000 0.3931 1
# E (eV per atom): -12.88
# DOS at the Fermi energy (states/eV/atom): 0.525

---

> What is the formula in the fourth record?

LiReF3

---

What did the second record say?
# RbLiRhF2, single point on PBEsol structure, DFT meta-GGA SCAN
data_RbLiRhF2
_chemical_formula_sum 'Rb1 Li1 Rh1 F2'
_symmetry_space_group_name_H-M 'P 4/m m m'
_symmetry_Int_Tables_number 123
_symmetry_space_group_name_Hall '-P 4 2'
_cell_length_a 4.443
_cell_length_b 4.443
_cell_length_c 4.358
_cell_angle_alpha 90.00
_cell_angle_beta 90.00
_cell_angle_gamma 90.00
loop_
_atom_site_label
_atom_site_type_symbol
_atom_site_fract_x
_atom_site_fract_y
_atom_site_fract_z
_atom_site_occupancy
Rb1 Rb 0.000 0.000 0.000 1
Li1 Li 0.500 0.500 0.000 1
Rh1 Rh 0.500 0.500 0.500 1
F1 F 0.000 0.500 0.500 1
# E (eV per atom): -13.98
# DOS at the Fermi energy (states/eV/atom): 0.122